Record 1
Here is crystalline La4TbPmPr2 at its relaxed geometry from Alexandria via LeMat-Bulk. Energies are from PBE-GGA.

Lattice parameters (Å, degrees): 5.274 5.243 11.612 63.07 90.00 90.00
Sites, in units of the cell vectors:
La 0.000 0.750 0.751
La 0.000 0.250 0.249
La 0.500 0.751 0.249
La 0.500 0.249 0.751
Tb 0.500 0.500 0.000
Pm 0.000 0.500 0.500
Pr 0.000 0.000 0.000
Pr 0.500 0.000 0.500

Values from the calculation:
Calculated total energy: -4.818 eV per atom
Fermi-level density of states: 1.6284 states/eV/atom
Symmetry: P2/m (10)

Record 2
Here is crystalline LaTb2Pm2Pr2 at its relaxed geometry from Alexandria via LeMat-Bulk. Energies are from PBE-GGA.

Lattice parameters (Å, degrees): 3.589 6.231 12.148 71.33 90.00 106.74
Sites, in units of the cell vectors:
La 0.000 0.000 0.500
Tb 0.776 0.552 0.362
Tb 0.224 0.448 0.638
Pm 0.448 0.895 0.771
Pm 0.552 0.105 0.229
Pr 0.668 0.335 0.918
Pr 0.332 0.665 0.082

Values from the calculation:
Calculated total energy: -4.666 eV per atom
Fermi-level density of states: 1.7391 states/eV/atom
Symmetry: C2/m (12)

Q: Which energy of formation values were calculated for the entries above? A: 13, 84, in meV/atom.